Entry 1:
This record from Alexandria via LeMat-Bulk describes an optimized crystal structure of EuAs2Ru2. The functional is PBE.

Summary:
The value obtained for the calculated formation energy is -0.704 eV per atom. The symmetry is C2/m.

abc: 4.2103 4.2090 6.1197
angles: 110.03 110.05 90.00
Each line ends with the local moment (μB).
Fractional positions:
Ru 0.7500 0.2501 0.5001  0.03
As 0.6354 0.6354 0.2697  0.01
As 0.3646 0.3647 0.7303  0.01
Ru 0.2501 0.7500 0.4999  0.03
Eu 0.0000 0.0000 0.0000  -6.77


Entry 2:
This record from Alexandria via LeMat-Bulk describes an optimized crystal structure of EuAsS. The functional is PBE.

Summary:
For the formation energy from raw total energies, the calculation gives -1.294 eV/atom. The symmetry is Pnma.

abc: 3.9087 4.0990 18.1304
angles: 90.00 90.00 90.00
Each line ends with the local moment (μB).
Fractional positions:
Eu 0.2500 0.2326 0.6599  6.62
S 0.7500 0.7271 0.6809  -0.11
As 0.7500 0.3118 0.9931  -0.02
S 0.2500 0.2729 0.3191  -0.11
Eu 0.2500 0.2674 0.1599  6.62
Eu 0.7500 0.7674 0.3401  6.62
S 0.7500 0.7729 0.1809  -0.11
Eu 0.7500 0.7326 0.8401  6.62
As 0.2500 0.8118 0.5069  -0.02
S 0.2500 0.2271 0.8191  -0.11
As 0.2500 0.6882 0.0069  -0.02
As 0.7500 0.1882 0.4931  -0.02


Entry 3:
This record from Alexandria via LeMat-Bulk describes an optimized crystal structure of EuAsS2. The functional is PBE.

Summary:
For the formation energy from raw total energies, the calculation gives -0.365 eV/atom. The symmetry is R-3m.

abc: 3.8118 3.8118 8.6825
angles: 77.32 77.32 60.00
Each line ends with the local moment (μB).
Fractional positions:
Eu 0.0000 0.0000 0.0000  7.06
S 0.8885 0.8885 0.3345  -0.02
As 0.5000 0.5000 0.5000  0.00
S 0.1115 0.1115 0.6655  -0.02


Entry 4:
This record from Alexandria via LeMat-Bulk describes an optimized crystal structure of Eu3As5S12. The functional is PBE.

Summary:
For the formation energy from raw total energies, the calculation gives -0.635 eV/atom. The symmetry is Ia-3d.

abc: 13.5860 13.5860 13.5860
angles: 109.47 109.47 109.47
Each line ends with the local moment (μB).
Fractional positions:
S 0.7933 0.4700 0.3761  0.03
S 0.1239 0.4172 0.0939  0.03
S 0.5300 0.3234 0.9061  0.03
S 0.5939 0.6239 0.4172  0.03
As 0.1250 0.7500 0.3750  0.00
Eu 0.2500 0.1250 0.3750  -6.67
S 0.9172 0.0939 0.6239  0.03
As 0.7500 0.6250 0.3750  0.00
S 0.7933 0.3234 0.9172  0.03
As 0.8750 0.6250 0.7500  0.00
As 0.2500 0.8750 0.1250  0.00
Eu 0.8750 0.1250 0.2500  -6.67
Eu 0.8750 0.7500 0.1250  -6.67
As 0.5000 0.0000 0.5000  0.00
S 0.2933 0.4172 0.8234  0.03
S 0.0939 0.1766 0.4700  0.03
S 0.5300 0.2067 0.1239  0.03
Eu 0.7500 0.8750 0.6250  -6.67
Eu 0.3750 0.6250 0.2500  -6.67
S 0.8234 0.9172 0.2933  0.03
S 0.9700 0.5939 0.1766  0.03
S 0.8761 0.2933 0.4700  0.03
As 0.5000 0.5000 0.5000  0.00
Eu 0.6250 0.2500 0.3750  -6.67
S 0.9061 0.8234 0.5300  0.03
As 0.5000 0.0000 0.0000  0.00
As 0.6250 0.8750 0.2500  0.00
As 0.5000 0.5000 0.0000  0.00
As 0.0000 0.5000 0.0000  0.00
S 0.9061 0.0828 0.8761  0.03
S 0.4172 0.2933 0.3234  0.03
S 0.3234 0.5300 0.4061  0.03
S 0.5828 0.8761 0.4061  0.03
S 0.3761 0.4061 0.0828  0.03
S 0.5939 0.9700 0.6766  0.03
S 0.0828 0.9061 0.3761  0.03
S 0.6239 0.5939 0.9172  0.03
As 0.3750 0.1250 0.7500  0.00
As 0.7500 0.1250 0.8750  0.00
S 0.0939 0.9172 0.1239  0.03
S 0.8761 0.5828 0.9061  0.03
S 0.0828 0.1766 0.2067  0.03
S 0.3234 0.7933 0.4172  0.03
As 0.8750 0.2500 0.6250  0.00
S 0.1239 0.7067 0.5300  0.03
Eu 0.2500 0.6250 0.8750  -6.67
S 0.5828 0.7067 0.6766  0.03
Eu 0.3750 0.7500 0.6250  -6.67
As 0.0000 0.5000 0.5000  0.00
S 0.2933 0.8761 0.9700  0.03
Eu 0.1250 0.8750 0.7500  -6.67
S 0.0300 0.4061 0.8234  0.03
S 0.2067 0.6766 0.0828  0.03
Eu 0.7500 0.3750 0.1250  -6.67
As 0.2500 0.3750 0.6250  0.00
S 0.1766 0.0939 0.9700  0.03
S 0.6766 0.2067 0.5828  0.03
S 0.4061 0.3761 0.5828  0.03
S 0.4061 0.0300 0.3234  0.03
As 0.0000 0.0000 0.0000  0.00
S 0.9700 0.3761 0.2933  0.03
As 0.6250 0.7500 0.8750  0.00
Eu 0.6250 0.3750 0.7500  -6.67
S 0.9172 0.8234 0.7933  0.03
Eu 0.1250 0.2500 0.8750  -6.67
S 0.8234 0.9061 0.0300  0.03
S 0.7067 0.5828 0.1766  0.03
S 0.6766 0.4700 0.5939  0.03
S 0.3761 0.9700 0.7933  0.03
S 0.4700 0.6766 0.0939  0.03
S 0.6239 0.0300 0.2067  0.03
S 0.2067 0.5300 0.6239  0.03
S 0.7067 0.1239 0.0300  0.03
S 0.1766 0.0828 0.7067  0.03
S 0.0300 0.6239 0.7067  0.03
As 0.0000 0.0000 0.5000  0.00
As 0.3750 0.2500 0.1250  0.00
S 0.4700 0.7933 0.8761  0.03
S 0.4172 0.1239 0.5939  0.03
As 0.1250 0.3750 0.2500  0.00


Entry 5:
This record from Alexandria via LeMat-Bulk describes an optimized crystal structure of Eu2SbAs. The functional is PBE.

Summary:
For the formation energy from raw total energies, the calculation gives -0.940 eV/atom. The symmetry is P4/mmm.

abc: 3.6503 3.6503 8.3342
angles: 90.00 90.00 90.00
Each line ends with the local moment (μB).
Fractional positions:
Sb 0.5000 0.5000 0.5000  -0.04
As 0.5000 0.5000 0.0000  -0.09
Eu 0.0000 0.0000 0.7778  6.79
Eu 0.0000 0.0000 0.2222  6.79


Entry 6:
This record from Alexandria via LeMat-Bulk describes an optimized crystal structure of EuSbAs. The functional is PBE.

Summary:
For the formation energy from raw total energies, the calculation gives -0.601 eV/atom. The symmetry is P3m1.

abc: 4.2827 4.7904 4.7904
angles: 120.00 90.00 90.00
Each line ends with the local moment (μB).
Fractional positions:
As 0.1038 0.0000 0.0000  -0.02
Sb 0.2183 0.6667 0.3333  -0.02
Eu 0.6778 0.3333 0.6667  6.84


Entry 7:
This record from Alexandria via LeMat-Bulk describes an optimized crystal structure of EuSb2As. The functional is PBE.

Summary:
For the formation energy from raw total energies, the calculation gives -0.450 eV/atom. The symmetry is P4/mmm.

abc: 4.9263 4.5866 4.5866
angles: 90.00 90.00 90.00
Each line ends with the local moment (μB).
Fractional positions:
Sb 0.0000 0.5000 0.0000  0.03
As 0.5000 0.0000 0.0000  0.04
Eu 0.5000 0.5000 0.5000  -6.71
Sb 0.0000 0.0000 0.5000  0.03


Entry 8:
This record from Alexandria via LeMat-Bulk describes an optimized crystal structure of Eu2SbAs. The functional is PBE.

Summary:
For the formation energy from raw total energies, the calculation gives -0.970 eV/atom. The symmetry is R-3m.

abc: 4.2846 4.2846 8.1575
angles: 74.77 74.77 60.00
Each line ends with the local moment (μB).
Fractional positions:
Sb 0.0000 0.0000 0.0000  -0.05
Eu 0.7598 0.7598 0.7207  6.63
As 0.5000 0.5000 0.5000  -0.14
Eu 0.2402 0.2402 0.2793  6.63


Entry 9:
This record from Alexandria via LeMat-Bulk describes an optimized crystal structure of EuScAs2. The functional is PBE.

Summary:
The value obtained for the calculated formation energy is -1.213 eV per atom. The symmetry is R-3m.

abc: 4.0709 4.0709 7.1036
angles: 73.35 73.35 60.00
Each line ends with the local moment (μB).
Fractional positions:
Eu 0.5000 0.5000 0.5000  6.62
Sc 0.0000 0.0000 0.0000  -0.05
As 0.7409 0.7409 0.7773  -0.07
As 0.2591 0.2591 0.2227  -0.07


Entry 10:
This record from Alexandria via LeMat-Bulk describes an optimized crystal structure of EuScAs. The functional is PBE.

Summary:
The value obtained for the calculated formation energy is -0.741 eV per atom. The symmetry is P3m1.

abc: 4.3351 4.5861 4.5861
angles: 120.00 90.00 90.00
Each line ends with the local moment (μB).
Fractional positions:
As 0.1654 0.0000 0.0000  -0.04
Eu 0.6672 0.6667 0.3333  6.83
Sc 0.1674 0.3333 0.6667  0.10


Entry 11:
This record from Alexandria via LeMat-Bulk describes an optimized crystal structure of Eu2AsSe. The functional is PBE.

Summary:
For the formation energy from raw total energies, the calculation gives -1.585 eV/atom. The symmetry is R-3m.

abc: 4.2941 4.2941 7.5090
angles: 73.39 73.39 60.00
Each line ends with the local moment (μB).
Fractional positions:
Eu 0.7482 0.7482 0.7555  6.63
As 0.0000 0.0000 0.0000  -0.20
Eu 0.2518 0.2518 0.2445  6.63
Se 0.5000 0.5000 0.5000  -0.10


Entry 12:
This record from Alexandria via LeMat-Bulk describes an optimized crystal structure of Eu3Si2As4. The functional is PBE.

Summary:
For the formation energy from raw total energies, the calculation gives -0.838 eV/atom. The symmetry is P2_1/c.

abc: 17.8873 7.3128 7.4560
angles: 68.73 90.00 90.00
Each line ends with the local moment (μB).
Fractional positions:
Eu 0.3149 0.4878 0.2278  -6.81
As 0.5622 0.2473 0.0094  0.01
As 0.1884 0.7257 0.9643  0.02
As 0.4330 0.2392 0.5040  0.01
Eu 0.4404 0.4981 0.7422  -6.78
As 0.5670 0.7608 0.4960  0.01
As 0.4378 0.7527 0.9906  0.01
As 0.8116 0.2743 0.0357  0.02
Si 0.8708 0.4667 0.2099  0.00
Si 0.2599 0.9224 0.6872  0.00
As 0.0670 0.7392 0.5040  0.01
As 0.6960 0.2709 0.4978  0.01
As 0.0622 0.2527 0.9906  0.01
Si 0.2401 0.4224 0.6872  0.00
Eu 0.5627 0.0089 0.7497  6.78
Si 0.7599 0.5776 0.3128  0.00
As 0.1960 0.2291 0.5022  0.01
As 0.3040 0.7291 0.5022  0.01
Eu 0.9404 0.0019 0.2578  -6.78
As 0.6884 0.7743 0.0357  0.02
Eu 0.9373 0.5089 0.7497  6.78
Eu 0.4373 0.9911 0.2503  6.78
Si 0.3708 0.0333 0.7901  0.00
As 0.9378 0.7473 0.0094  0.01
Eu 0.8149 0.0122 0.7722  -6.81
Eu 0.5596 0.5019 0.2578  -6.78
Si 0.7401 0.0776 0.3128  0.00
Si 0.1292 0.5333 0.7901  0.00
Eu 0.0596 0.9981 0.7422  -6.78
As 0.3116 0.2257 0.9643  0.02
As 0.8040 0.7709 0.4978  0.01
Eu 0.1851 0.9878 0.2278  -6.81
Si 0.6292 0.9667 0.2099  0.00
As 0.9330 0.2608 0.4960  0.01
Eu 0.6851 0.5122 0.7722  -6.81
Eu 0.0627 0.4911 0.2503  6.78


no.,total moment (Bohr magnetons per cell)
1,6.90
2,26.34
3,7.58
4,79.92
5,13.71
6,7.00
7,6.69
8,13.14
9,6.44
10,7.22
11,13.01
12,28.06